(1)
VASP calculation (SCAN) on HfZr2Ge2 at its PBEsol-relaxed geometry.

Properties
**Final energy**: -33.332 eV per atom
**Total magnetization**: 0.00 Bohr magnetons per cell

Cell lengths 7.118, 7.118, 3.688 Å; angles 90.00, 90.00, 90.00 degrees
Space group P4/mbm (No. 127)
Unique sites:
Hf (0.000, 0.000, 0.000)
Zr (0.171, 0.329, 0.500)
Ge (0.130, 0.630, 0.000)

(2)
VASP calculation (SCAN) on Hf2ZrGe2 at its PBEsol-relaxed geometry.

Properties
**Final energy**: -39.645 eV per atom
**Total magnetization**: 0.00 Bohr magnetons per cell

Cell lengths 7.118, 7.118, 3.644 Å; angles 90.00, 90.00, 90.00 degrees
Space group P4/mbm (No. 127)
Unique sites:
Hf (0.171, 0.329, 0.000)
Zr (0.000, 0.000, 0.500)
Ge (0.129, 0.629, 0.500)